Density functional theory data (GGA+U) for a geometry-optimized Rb2VCrO4 structure.

POSCAR file:
```
Rb2VCrO4
1.0
5.463 0.000 0.000
2.732 6.318 0.000
2.732 0.000 9.984
O Cr Rb V
8 2 4 2
Direct
0.550 0.327 0.579
0.879 0.827 0.921
0.456 0.673 0.421
0.294 0.827 0.079
0.123 0.327 0.421
0.871 0.673 0.579
0.627 0.173 0.079
0.200 0.173 0.921
0.750 0.500 0.500
0.000 0.000 0.000
0.821 0.000 0.357
0.929 0.500 0.143
0.571 0.500 0.857
0.179 0.000 0.643
0.500 0.000 0.000
0.250 0.500 0.500
```

Summary:
The calculation puts the calculated total energy at -6.1094 eV per atom.